1.
Crystalline Rb2CoPdCl6 at its relaxed geometry, computed with PBE.

Cell: 6.975 6.975 6.975 Å, 60.00 60.00 60.00°
Element x y z (fractional)
Rb 0.250 0.250 0.250
Rb 0.750 0.750 0.750
Co 0.000 0.000 0.000
Pd 0.500 0.500 0.500
Cl 0.243 0.243 0.757
Cl 0.243 0.757 0.243
Cl 0.243 0.757 0.757
Cl 0.757 0.243 0.243
Cl 0.757 0.243 0.757
Cl 0.757 0.757 0.243

Results
- Energy above the most stable polymorph in this dataset: 0 meV per atom
- Space group: Fm-3m
- Calculated volume: 240.0 Å³/f.u.



2.
Crystalline PmCoCl at its relaxed geometry, computed with PBE.

Cell: 11.203 11.203 11.203 Å, 20.32 20.32 20.32°
Element x y z (fractional)
Pm 0.059 0.059 0.059
Pm 0.941 0.941 0.941
Co 0.335 0.335 0.335
Co 0.665 0.665 0.665
Cl 0.221 0.221 0.221
Cl 0.779 0.779 0.779

Results
- E: -34.223 eV per cell
- Space group: R-3m
- Calculated volume: 74.2 Å³/f.u.



3.
Crystalline Pm4CoCl5 at its relaxed geometry, computed with PBE.

Cell: 9.436 9.436 8.334 Å, 105.17 105.17 24.07°
Element x y z (fractional)
Pm 0.002 0.002 0.282
Pm 0.347 0.347 0.398
Pm 0.653 0.653 0.602
Pm 0.998 0.998 0.718
Co 0.500 0.500 0.500
Cl 0.165 0.165 0.848
Cl 0.173 0.173 0.366
Cl 0.500 0.500 0.000
Cl 0.827 0.827 0.634
Cl 0.835 0.835 0.152

Results
- E: -51.236 eV per cell
- Space group: C2/m
- Calculated volume: 291.6 Å³/f.u.



4.
Crystalline CoPtCl6 at its relaxed geometry, computed with PBE.

Cell: 6.409 6.409 6.409 Å, 55.22 55.22 55.22°
Element x y z (fractional)
Co 0.000 0.000 0.000
Pt 0.500 0.500 0.500
Cl 0.091 0.747 0.412
Cl 0.253 0.588 0.909
Cl 0.412 0.091 0.747
Cl 0.588 0.909 0.253
Cl 0.747 0.412 0.091
Cl 0.909 0.253 0.588

Results
- E: -27.385 eV per cell
- Space group: R-3
- Calculated volume: 165.4 Å³/f.u.



5.
Crystalline Co3SeCl at its relaxed geometry, computed with PBE.

Cell: 12.603 12.603 3.543 Å, 90.00 90.00 164.16°
Element x y z (fractional)
Co 0.045 0.955 0.000
Co 0.206 0.794 0.500
Co 0.455 0.545 0.500
Co 0.545 0.455 0.500
Co 0.794 0.206 0.500
Co 0.955 0.045 0.000
Se 0.105 0.895 0.500
Se 0.895 0.105 0.500
Cl 0.305 0.695 0.000
Cl 0.695 0.305 0.000

Results
- E: -50.959 eV per cell
- Space group: Cmmm
- Calculated volume: 76.8 Å³/f.u.



6.
Crystalline Sm4CoCl5 at its relaxed geometry, computed with PBE.

Cell: 9.384 9.384 8.289 Å, 104.61 104.61 24.01°
Element x y z (fractional)
Sm 0.001 0.001 0.282
Sm 0.348 0.348 0.402
Sm 0.652 0.652 0.598
Sm 0.999 0.999 0.718
Co 0.500 0.500 0.500
Cl 0.166 0.166 0.844
Cl 0.174 0.174 0.364
Cl 0.500 0.500 0.000
Cl 0.826 0.826 0.636
Cl 0.834 0.834 0.156

Results
- E: -51.079 eV per cell
- Space group: C2/m
- Calculated volume: 287.0 Å³/f.u.



7.
Crystalline TaCoCl6 at its relaxed geometry, computed with PBE.

Cell: 5.951 5.951 6.350 Å, 98.97 98.97 119.80°
Element x y z (fractional)
Ta 0.000 0.000 0.000
Co 0.331 0.669 0.000
Cl 0.078 0.403 0.232
Cl 0.247 0.252 0.768
Cl 0.398 0.074 0.233
Cl 0.597 0.922 0.768
Cl 0.748 0.753 0.232
Cl 0.926 0.602 0.767

Results
- E: -38.135 eV per cell
- Space group: C2
- Calculated volume: 185.5 Å³/f.u.



8.
Crystalline Tb6CoCl10 at its relaxed geometry, computed with PBE.

Cell: 7.080 8.703 8.816 Å, 109.95 97.11 106.86°
Element x y z (fractional)
Tb 0.024 0.198 0.400
Tb 0.134 0.551 0.252
Tb 0.373 0.648 0.694
Tb 0.627 0.352 0.306
Tb 0.866 0.449 0.748
Tb 0.976 0.802 0.600
Co 0.000 0.500 0.500
Cl 0.091 0.872 0.335
Cl 0.199 0.237 0.144
Cl 0.251 0.583 0.958
Cl 0.365 0.968 0.782
Cl 0.447 0.324 0.577
Cl 0.553 0.676 0.423
Cl 0.635 0.032 0.218
Cl 0.749 0.417 0.042
Cl 0.801 0.763 0.856
Cl 0.909 0.128 0.665

Results
- E: -84.847 eV per cell
- Space group: P-1
- Calculated volume: 473.4 Å³/f.u.



9.
Crystalline CoTcCl6 at its relaxed geometry, computed with PBE.

Cell: 6.057 6.057 6.286 Å, 99.17 99.17 119.87°
Element x y z (fractional)
Co 0.000 0.000 0.000
Tc 0.667 0.333 0.000
Cl 0.053 0.392 0.231
Cl 0.264 0.242 0.771
Cl 0.414 0.097 0.228
Cl 0.608 0.947 0.769
Cl 0.758 0.736 0.229
Cl 0.903 0.586 0.772

Results
- E: -33.485 eV per cell
- Space group: C2
- Calculated volume: 189.6 Å³/f.u.



10.
Crystalline CoTeCl6 at its relaxed geometry, computed with PBE.

Cell: 6.966 6.966 6.966 Å, 60.00 60.00 60.00°
Element x y z (fractional)
Co 0.000 0.000 0.000
Te 0.500 0.500 0.500
Cl 0.242 0.242 0.758
Cl 0.242 0.758 0.242
Cl 0.242 0.758 0.758
Cl 0.758 0.242 0.242
Cl 0.758 0.242 0.758
Cl 0.758 0.758 0.242

Results
- E: -24.342 eV per cell
- Space group: Fm-3m
- Calculated volume: 239.0 Å³/f.u.



11.
Crystalline ThCoCl at its relaxed geometry, computed with PBE.

Cell: 3.931 3.931 11.581 Å, 100.07 100.07 59.99°
Element x y z (fractional)
Th 0.059 0.059 0.169
Th 0.941 0.941 0.831
Co 0.332 0.332 0.997
Co 0.668 0.668 0.003
Cl 0.215 0.215 0.660
Cl 0.785 0.785 0.340

Results
- E: -39.297 eV per cell
- Space group: C2/m
- Calculated volume: 75.9 Å³/f.u.



12.
Crystalline ZnCoCl6 at its relaxed geometry, computed with PBE.

Cell: 6.283 6.283 6.283 Å, 55.96 55.96 55.96°
Element x y z (fractional)
Zn 0.000 0.000 0.000
Co 0.500 0.500 0.500
Cl 0.102 0.730 0.428
Cl 0.270 0.572 0.898
Cl 0.428 0.102 0.730
Cl 0.572 0.898 0.270
Cl 0.730 0.428 0.102
Cl 0.898 0.270 0.572

Results
- E: -23.657 eV per cell
- Space group: R-3
- Calculated volume: 159.0 Å³/f.u.